[1]
Computed, not measured: TaBeNi2 after structural relaxation at the PBE level of DFT.

abc: 3.5584 3.5584 16.2468
angles: 90.00 90.00 90.00
Closest atoms and distances in Å follow each position.
Space group I-42d (No. 122)
One atom of each set of equivalent atoms:
Ta 0.0000 0.0000 0.0000  4 Ni 2.44, 4 Be 2.52
Be 0.0000 0.0000 0.5000  4 Ni 2.34, 4 Ta 2.52
Ni 0.2138 0.2500 0.6250  2 Ni 2.34, 2 Be 2.34, 2 Ta 2.44

Calculated values
The value obtained for the calculated formation energy is 184 meV per atom. For the total magnetization, the calculation gives 0.00 μB per formula unit. The crystal system is tetragonal.


[2]
Computed, not measured: GaFe2Sn after structural relaxation at the PBE level of DFT.

abc: 6.0231 6.0231 6.0231
angles: 90.00 90.00 90.00
Closest atoms and distances in Å follow each position.
Space group Fm-3m (No. 225)
One atom of each set of equivalent atoms:
Ga 0.0000 0.0000 0.0000  8 Fe 2.61
Fe 0.2500 0.2500 0.2500  4 Sn 2.61, 4 Ga 2.61
Sn 0.0000 0.0000 0.5000  8 Fe 2.61

Calculated values
The value obtained for the calculated formation energy is 143 meV per atom. For the total magnetization, the calculation gives 0.22 μB per formula unit. The crystal system is cubic. The calculation puts the energy above the most stable polymorph in this dataset at 0 kJ/mol of formula units.


[3]
Computed, not measured: In6AgPd2 after structural relaxation at the PBE level of DFT.

abc: 13.2129 4.3013 9.0616
angles: 90.00 127.48 90.00
Closest atoms and distances in Å follow each position.
Space group C2/m (No. 12)
One atom of each set of equivalent atoms:
In 0.0167 0.0000 0.1761  2 Pd 2.83, 2 In 2.94-3.14, 1 Ag 3.07
In 0.1837 0.5000 0.5427  2 Pd 2.85-2.86, 2 Ag 3.09, 3 In 3.14-3.15
In 0.2346 0.5000 0.1280  3 Pd 2.73-2.89, 1 Ag 3.05
Ag 0.0000 0.0000 0.5000  4 Pd 2.81, 8 In 3.05-3.09
Pd 0.0841 0.5000 0.7481  7 In 2.73-2.89, 2 Ag 2.81

Calculated values
The value obtained for the calculated formation energy is -207 meV per atom. For the total magnetization, the calculation gives 0.00 μB per formula unit. The crystal system is monoclinic.


[4]
Computed, not measured: CoNi2Mo after structural relaxation at the PBE level of DFT.

abc: 5.7719 5.7719 5.7719
angles: 90.00 90.00 90.00
Closest atoms and distances in Å follow each position.
Space group Fm-3m (No. 225)
One atom of each set of equivalent atoms:
Co 0.0000 0.0000 0.0000  8 Ni 2.50
Ni 0.2500 0.2500 0.2500  4 Mo 2.50, 4 Co 2.50
Mo 0.0000 0.0000 0.5000  8 Ni 2.50

Calculated values
The value obtained for the calculated formation energy is 171 meV per atom. For the total magnetization, the calculation gives 0.07 μB per formula unit. The crystal system is cubic. The calculation puts the energy above the most stable polymorph in this dataset at 86 kJ/mol of formula units.